Be2ZnSb | PBE-GGA | optimized geometry Values from VASP.

Geometry as Quantum ESPRESSO input:
```
&SYSTEM
  ibrav = 0, nat = 4, ntyp = 3
/
ATOMIC_SPECIES
Be 9.01 Be.upf
Sb 121.76 Sb.upf
Zn 65.41 Zn.upf
ATOMIC_POSITIONS angstrom
Be 0.279 0.136 4.493
Be 5.187 2.526 4.018
Sb 3.379 1.645 2.737
Zn 1.973 0.961 0.593
CELL_PARAMETERS angstrom
4.219 0.002 -0.041
2.604 3.320 -0.041
0.233 0.114 4.785
```

Values from the calculation:
- Total magnetization: 0.00 μB/f.u.
- Symmetry: Cm
- Formation energy without anion corrections: 348 meV per atom
- Final energy: -11.5 eV per cell
- Density of states at the Fermi level: 0.809 states/eV/cell